! HoGa2WO8 (GGA+U, relaxed); values from VASP
! - Total magnetization: 0.67 Bohr magnetons per cell
! - E_tot: -6.86 eV/atom
! - Symmetry: Cmmm, No. 65
! - DOS(E_F): 3.90 states/eV per cell
&SYSTEM
  ibrav = 0, nat = 12, ntyp = 4
/
ATOMIC_SPECIES
Ho 164.93 Ho.upf
Ga 69.72 Ga.upf
W 183.84 W.upf
O 16.00 O.upf
CELL_PARAMETERS angstrom
3.326 -3.329 0.000
3.326 3.329 0.000
0.000 0.000 6.421
ATOMIC_POSITIONS angstrom
Ho 0.000 0.000 0.000
Ga 3.326 0.000 1.653
Ga 3.326 0.000 4.768
W 0.000 0.000 3.210
O 1.330 0.000 1.809
O 1.330 0.000 4.612
O 3.326 1.341 3.210
O 3.326 1.152 0.000
O 3.326 -1.152 0.000
O 3.326 -1.341 3.210
O 5.322 0.000 1.809
O 5.322 0.000 4.612